No. 1
# CdPdO3, relaxed, DFT GGA-PBE
# DFT total energy = -4.7125 eV per atom
data_CdPdO3
_cell_length_a 5.5773
_cell_length_b 5.5773
_cell_length_c 12.7465
_cell_angle_alpha 90.00
_cell_angle_beta 90.00
_cell_angle_gamma 120.00
_symmetry_space_group_name_H-M 'R -3 c'
_symmetry_Int_Tables_number 167
_symmetry_space_group_name_Hall '-R 3 2"c'
loop_
_atom_site_label
_atom_site_fract_x
_atom_site_fract_y
_atom_site_fract_z
Cd1 0.0000 0.0000 0.2500
Pd1 0.0000 0.0000 0.0000
O1 0.0000 0.3900 0.2500

No. 2
# Nd3Ni8Sn4, relaxed, DFT GGA-PBE
# DFT total energy = -5.4491 eV per atom
# M_tot = 0.31 Bohr magnetons per cell
data_Nd3Ni8Sn4
_cell_length_a 8.9909
_cell_length_b 8.9909
_cell_length_c 7.5894
_cell_angle_alpha 90.00
_cell_angle_beta 90.00
_cell_angle_gamma 120.00
_symmetry_space_group_name_H-M 'P 63 m c'
_symmetry_Int_Tables_number 186
_symmetry_space_group_name_Hall 'P 6c -2c'
loop_
_atom_site_label
_atom_site_fract_x
_atom_site_fract_y
_atom_site_fract_z
Nd1 0.0558 0.5279 0.0000
Ni1 0.0000 0.0000 0.2771
Ni2 0.1025 0.2049 0.0205
Ni3 0.1636 0.3271 0.3338
Ni4 0.3333 0.6667 0.6904
Sn1 0.1656 0.3312 0.7013
Sn2 0.3333 0.6667 0.3254